Crystalline BaPt2Cl at its relaxed geometry. Source: Alexandria, functional PBE.

Cell and atoms, written as POSCAR:
```
BaPt2Cl
1.0
0.000 3.622 3.622
3.622 0.000 3.622
3.622 3.622 0.000
Ba Pt Cl
1 2 1
Cartesian
0.000 0.000 0.000 Ba
1.811 1.811 1.811 Pt
5.433 5.433 5.433 Pt
3.622 3.622 3.622 Cl
```

## Properties
Energy relative to the elements, uncorrected in eV per atom: 0.2108
Distance to the lowest polymorph of the same formula in meV/atom: 972
Total energy in eV for the cell shown: -15.008